DFT (PBE-GGA) results for crystalline ScCr2Rh2 at its relaxed geometry.

The structure in POSCAR format:
```
ScCr2Rh2
1.0
-1.502 1.414 7.050
-7.065 -1.630 -1.178
0.496 -2.605 0.628
Sc Cr Rh
2 4 4
Direct
0.000 0.000 0.000
0.500 0.500 0.000
0.392 0.892 0.000
0.892 0.608 0.000
0.608 0.108 0.000
0.108 0.392 0.000
0.180 0.680 0.500
0.680 0.820 0.500
0.820 0.320 0.500
0.320 0.180 0.500
```

Calculated formation energy: -2.81 kcal/mol of atoms
ρ: 8.01 g/cm³
Space group: No. 127
Crystal system: tetragonal



DFT (PBE-GGA) results for crystalline NaGdInPd at its relaxed geometry.

The structure in POSCAR format:
```
NaGdInPd
1.0
-0.282 0.043 4.968
-0.366 -4.282 2.508
3.835 -1.623 2.724
Na Gd Pd In
1 1 1 1
Direct
0.000 0.000 0.000
0.750 0.750 0.750
0.500 0.500 0.500
0.250 0.250 0.250
```

Calculated formation energy: -9.10 kcal/mol of atoms
ρ: 7.65 g/cm³
Space group: No. 216
Crystal system: cubic